# LiPmAl3 PBE relaxed
# calculated volume	425.84	Å³/cell
# energy of formation from the pure elements	-0.253	eV per atom
# final energy	-76.62	eV/cell
# M_tot	0.0	μB per formula unit
data_LiPmAl3
_cell_length_a 3.509
_cell_length_b 26.606
_cell_length_c 4.561
_cell_angle_alpha 90.00
_cell_angle_beta 90.00
_cell_angle_gamma 90.00
_space_group_name_H-M_alt 'C m c m'
_space_group_IT_number 63
_space_group_name_Hall '-C 2c 2'
loop_
_atom_site_label
_atom_site_fract_x
_atom_site_fract_y
_atom_site_fract_z
_atom_site_occupancy
Li1 0.000 0.213 0.250 1
Pm1 0.000 0.076 0.750 1
Al1 0.000 0.320 0.250 1
Al2 0.000 0.373 0.750 1
Al3 0.000 0.475 0.750 1

=====

# LiPmAl PBE relaxed
# calculated volume	136.35	Å³/cell
# energy of formation from the pure elements	-0.086	eV per atom
# final energy	-21.33	eV/cell
# excess energy over the best structure of this formula in the dataset	135	meV per atom
# M_tot	0.6	μB per formula unit
data_LiPmAl
_cell_length_a 3.439
_cell_length_b 3.439
_cell_length_c 11.529
_cell_angle_alpha 90.00
_cell_angle_beta 90.00
_cell_angle_gamma 90.00
_space_group_name_H-M_alt 'I 4 m m'
_space_group_IT_number 107
_space_group_name_Hall 'I 4 -2'
loop_
_atom_site_label
_atom_site_fract_x
_atom_site_fract_y
_atom_site_fract_z
_atom_site_occupancy
Li1 0.000 0.000 0.000 1
Pm1 0.000 0.000 0.705 1
Al1 0.000 0.000 0.385 1

=====

# Li3PmAl3 PBE relaxed
# calculated volume	307.09	Å³/cell
# energy of formation from the pure elements	0.391	eV per atom
# final energy	-37.96	eV/cell
# M_tot	0.0	μB per formula unit
data_Li3PmAl3
_cell_length_a 6.747
_cell_length_b 6.747
_cell_length_c 6.747
_cell_angle_alpha 90.00
_cell_angle_beta 90.00
_cell_angle_gamma 90.00
_space_group_name_H-M_alt 'P m -3 n'
_space_group_IT_number 223
_space_group_name_Hall '-P 4n 2 3'
loop_
_atom_site_label
_atom_site_fract_x
_atom_site_fract_y
_atom_site_fract_z
_atom_site_occupancy
Li1 0.000 0.250 0.500 1
Pm1 0.000 0.000 0.000 1
Al1 0.000 0.500 0.250 1

=====

# LiPmAl PBE relaxed
# calculated volume	69.23	Å³/cell
# energy of formation from the pure elements	-0.197	eV per atom
# final energy	-11.00	eV/cell
# excess energy over the best structure of this formula in the dataset	24	meV per atom
# M_tot	0.0	μB per formula unit
data_LiPmAl
_cell_length_a 4.9343
_cell_length_b 4.9343
_cell_length_c 3.2833
_cell_angle_alpha 90.00
_cell_angle_beta 90.00
_cell_angle_gamma 120.00
_space_group_name_H-M_alt 'P 3 m 1'
_space_group_IT_number 156
_space_group_name_Hall 'P 3 -2"'
loop_
_atom_site_label
_atom_site_fract_x
_atom_site_fract_y
_atom_site_fract_z
_atom_site_occupancy
Li1 0.0000 0.0000 0.0000 1
Pm1 0.6667 0.3333 0.4986 1
Al1 0.3333 0.6667 0.9981 1

=====

# LiPm4Al2 PBE relaxed
# calculated volume	596.12	Å³/cell
# energy of formation from the pure elements	-0.136	eV per atom
# final energy	-88.05	eV/cell
# M_tot	0.0	μB per formula unit
data_LiPm4Al2
_cell_length_a 5.2369
_cell_length_b 5.2369
_cell_length_c 25.0986
_cell_angle_alpha 90.00
_cell_angle_beta 90.00
_cell_angle_gamma 120.00
_space_group_name_H-M_alt 'R -3 m'
_space_group_IT_number 166
_space_group_name_Hall '-R 3 2"'
loop_
_atom_site_label
_atom_site_fract_x
_atom_site_fract_y
_atom_site_fract_z
_atom_site_occupancy
Li1 0.0000 0.0000 0.0000 1
Pm1 0.0000 0.0000 0.1307 1
Pm2 0.0000 0.0000 0.3838 1
Al1 0.0000 0.0000 0.2565 1

=====

# LiPmAl PBE relaxed
# calculated volume	132.95	Å³/cell
# energy of formation from the pure elements	-0.181	eV per atom
# final energy	-21.90	eV/cell
# excess energy over the best structure of this formula in the dataset	39	meV per atom
# M_tot	0.0	μB per formula unit
data_LiPmAl
_cell_length_a 4.9925
_cell_length_b 4.9925
_cell_length_c 6.1592
_cell_angle_alpha 90.00
_cell_angle_beta 90.00
_cell_angle_gamma 120.00
_space_group_name_H-M_alt 'P 63/m m c'
_space_group_IT_number 194
_space_group_name_Hall '-P 6c 2c'
loop_
_atom_site_label
_atom_site_fract_x
_atom_site_fract_y
_atom_site_fract_z
_atom_site_occupancy
Li1 0.3333 0.6667 0.2500 1
Pm1 0.3333 0.6667 0.7500 1
Al1 0.0000 0.0000 0.0000 1

=====

# Li2Pm3Al4 PBE relaxed
# calculated volume	412.56	Å³/cell
# energy of formation from the pure elements	-0.312	eV per atom
# final energy	-71.72	eV/cell
# M_tot	0.0	μB per formula unit
data_Li2Pm3Al4
_cell_length_a 10.941
_cell_length_b 4.754
_cell_length_c 8.915
_cell_angle_alpha 90.00
_cell_angle_beta 117.16
_cell_angle_gamma 90.00
_space_group_name_H-M_alt 'C 1 2/m 1'
_space_group_IT_number 12
_space_group_name_Hall '-C 2y'
loop_
_atom_site_label
_atom_site_fract_x
_atom_site_fract_y
_atom_site_fract_z
_atom_site_occupancy
Li1 0.080 0.000 0.250 1
Pm1 0.000 0.500 0.000 1
Pm2 0.178 0.000 0.653 1
Al1 0.025 0.500 0.367 1
Al2 0.240 0.000 0.073 1

=====

# LiPm6Al PBE relaxed
# calculated volume	965.89	Å³/cell
# energy of formation from the pure elements	-0.071	eV per atom
# final energy	-138.92	eV/cell
# M_tot	0.0	μB per formula unit
data_LiPm6Al
_cell_length_a 7.336
_cell_length_b 7.344
_cell_length_c 17.926
_cell_angle_alpha 90.00
_cell_angle_beta 90.00
_cell_angle_gamma 90.00
_space_group_name_H-M_alt 'F m m m'
_space_group_IT_number 69
_space_group_name_Hall '-F 2 2'
loop_
_atom_site_label
_atom_site_fract_x
_atom_site_fract_y
_atom_site_fract_z
_atom_site_occupancy
Li1 0.000 0.000 0.000 1
Pm1 0.000 0.000 0.251 1
Pm2 0.250 0.250 0.107 1
Al1 0.000 0.000 0.500 1

=====

# LiPmPrAl PBE relaxed
# calculated volume	423.82	Å³/cell
# energy of formation from the pure elements	-0.190	eV per atom
# final energy	-63.79	eV/cell
# M_tot	0.0	μB per formula unit
data_LiPmPrAl
_cell_length_a 7.511
_cell_length_b 7.511
_cell_length_c 7.511
_cell_angle_alpha 90.00
_cell_angle_beta 90.00
_cell_angle_gamma 90.00
_space_group_name_H-M_alt 'F -4 3 m'
_space_group_IT_number 216
_space_group_name_Hall 'F -4 2 3'
loop_
_atom_site_label
_atom_site_fract_x
_atom_site_fract_y
_atom_site_fract_z
_atom_site_occupancy
Li1 0.000 0.000 0.000 1
Pm1 0.250 0.250 0.750 1
Pr1 0.250 0.250 0.250 1
Al1 0.000 0.000 0.500 1

=====

# Li2PmAlPt4 PBE relaxed
# calculated volume	397.12	Å³/cell
# energy of formation from the pure elements	-0.840	eV per atom
# final energy	-129.61	eV/cell
# M_tot	0.0	μB per formula unit
data_Li2PmAlPt4
_cell_length_a 4.3469
_cell_length_b 4.3469
_cell_length_c 24.2672
_cell_angle_alpha 90.00
_cell_angle_beta 90.00
_cell_angle_gamma 120.00
_space_group_name_H-M_alt 'R -3 m'
_space_group_IT_number 166
_space_group_name_Hall '-R 3 2"'
loop_
_atom_site_label
_atom_site_fract_x
_atom_site_fract_y
_atom_site_fract_z
_atom_site_occupancy
Li1 0.0000 0.0000 0.2409 1
Pm1 0.0000 0.0000 0.0000 1
Al1 0.0000 0.0000 0.5000 1
Pt1 0.0000 0.0000 0.1314 1
Pt2 0.0000 0.0000 0.3980 1

=====

# LiPm2Al3Pt4 PBE relaxed
# calculated volume	187.85	Å³/cell
# energy of formation from the pure elements	-1.030	eV per atom
# final energy	-57.11	eV/cell
# M_tot	0.0	μB per formula unit
data_LiPm2Al3Pt4
_cell_length_a 4.143
_cell_length_b 4.143
_cell_length_c 10.942
_cell_angle_alpha 90.00
_cell_angle_beta 90.00
_cell_angle_gamma 90.00
_space_group_name_H-M_alt 'P -4 m 2'
_space_group_IT_number 115
_space_group_name_Hall 'P -4 -2'
loop_
_atom_site_label
_atom_site_fract_x
_atom_site_fract_y
_atom_site_fract_z
_atom_site_occupancy
Li1 0.000 0.000 0.000 1
Pm1 0.000 0.500 0.752 1
Al1 0.000 0.500 0.370 1
Al2 0.500 0.500 0.000 1
Pt1 0.000 0.000 0.500 1
Pt2 0.000 0.500 0.140 1
Pt3 0.500 0.500 0.500 1

=====

# LiPmAl2Pt4 PBE relaxed
# calculated volume	406.59	Å³/cell
# energy of formation from the pure elements	-1.023	eV per atom
# final energy	-139.49	eV/cell
# M_tot	0.0	μB per formula unit
data_LiPmAl2Pt4
_cell_length_a 4.2658
_cell_length_b 4.2658
_cell_length_c 25.8006
_cell_angle_alpha 90.00
_cell_angle_beta 90.00
_cell_angle_gamma 120.00
_space_group_name_H-M_alt 'R -3 m'
_space_group_IT_number 166
_space_group_name_Hall '-R 3 2"'
loop_
_atom_site_label
_atom_site_fract_x
_atom_site_fract_y
_atom_site_fract_z
_atom_site_occupancy
Li1 0.0000 0.0000 0.0000 1
Pm1 0.0000 0.0000 0.5000 1
Al1 0.0000 0.0000 0.2648 1
Pt1 0.0000 0.0000 0.0957 1
Pt2 0.0000 0.0000 0.3674 1

=====

- What is the calculated volume in the second record?
  136.35 Å³/cell

=====

- Which formula does entry 8 have?
  LiPm6Al